Entry 1:
# PBE-GGA Al3CrB, optimized geometry
data_Al3CrB
_chemical_formula_sum 'Al3 Cr1 B1'
_cell_length_a 4.6542
_cell_length_b 4.6542
_cell_length_c 4.6542
_cell_angle_alpha 90.00
_cell_angle_beta 90.00
_cell_angle_gamma 90.00
_symmetry_space_group_name_H-M 'P m -3 m'
_symmetry_Int_Tables_number 221
_symmetry_space_group_name_Hall '-P 4 2 3'
loop_
_atom_site_label
_atom_site_type_symbol
_atom_site_fract_x
_atom_site_fract_y
_atom_site_fract_z
Al1 Al 0.0000 0.0000 0.5000
Cr1 Cr 0.0000 0.0000 0.0000
B1 B 0.5000 0.5000 0.5000
# Crystal system: cubic
# M_tot (μB per formula unit): 1.5
# Excess energy over the best structure of this formula in the dataset (meV/atom): 675
# Energy (eV per atom): -4.1483

Entry 2:
# PBE-GGA Tl2NiSe, optimized geometry
data_Tl2NiSe
_chemical_formula_sum 'Tl4 Ni2 Se2'
_cell_length_a 6.2396
_cell_length_b 7.7348
_cell_length_c 3.7756
_cell_angle_alpha 90.00
_cell_angle_beta 92.75
_cell_angle_gamma 90.00
_symmetry_space_group_name_H-M 'C 1 2/m 1'
_symmetry_Int_Tables_number 12
loop_
_symmetry_equiv_pos_as_xyz
'x,y,z'
'-x,-y,-z'
'-x,y,-z'
'x,-y,z'
'x+1/2,y+1/2,z'
'-x+1/2,-y+1/2,-z'
'-x+1/2,y+1/2,-z'
'x+1/2,-y+1/2,z'
loop_
_atom_site_label
_atom_site_type_symbol
_atom_site_fract_x
_atom_site_fract_y
_atom_site_fract_z
Tl1 Tl 0.2500 0.2500 0.0000
Ni1 Ni 0.0000 0.0000 0.5000
Se1 Se 0.0000 0.5000 0.5000
# Raw formation energy (eV/atom): 0.315
# Crystal system: monoclinic
# M_tot (μB per formula unit): 0.0
# Excess energy over the best structure of this formula in the dataset (meV/atom): 487
# Energy (eV per atom): -3.1845

Entry 3:
# PBE-GGA PmErP2O8, optimized geometry
data_PmErP2O8
_chemical_formula_sum 'Pm1 Er1 P2 O8'
_cell_length_a 5.2551
_cell_length_b 5.2551
_cell_length_c 7.0638
_cell_angle_alpha 90.00
_cell_angle_beta 90.00
_cell_angle_gamma 120.00
_symmetry_space_group_name_H-M 'P -3 m 1'
_symmetry_Int_Tables_number 164
_symmetry_space_group_name_Hall '-P 3 2"'
loop_
_atom_site_label
_atom_site_type_symbol
_atom_site_fract_x
_atom_site_fract_y
_atom_site_fract_z
Pm1 Pm 0.0000 0.0000 0.0000
Er1 Er 0.0000 0.0000 0.5000
P1 P 0.3333 0.6667 0.7961
O1 O 0.1729 0.3458 0.7207
O2 O 0.3333 0.6667 0.0123
# Raw formation energy (eV/atom): -2.908
# Crystal system: trigonal
# M_tot (μB per formula unit): 0.0
# Energy (eV per atom): -7.8911

Entry 4:
# PBE-GGA EuInGaPd, optimized geometry
data_EuInGaPd
_chemical_formula_sum 'Eu4 In4 Ga4 Pd4'
_cell_length_a 7.0043
_cell_length_b 7.0043
_cell_length_c 7.0043
_cell_angle_alpha 90.00
_cell_angle_beta 90.00
_cell_angle_gamma 90.00
_symmetry_space_group_name_H-M 'F -4 3 m'
_symmetry_Int_Tables_number 216
_symmetry_space_group_name_Hall 'F -4 2 3'
loop_
_atom_site_label
_atom_site_type_symbol
_atom_site_fract_x
_atom_site_fract_y
_atom_site_fract_z
Eu1 Eu 0.0000 0.0000 0.0000
In1 In 0.0000 0.0000 0.5000
Ga1 Ga 0.2500 0.2500 0.2500
Pd1 Pd 0.2500 0.2500 0.7500
# Crystal system: cubic
# M_tot (μB per formula unit): 7.0
# Energy (eV per atom): -5.7916